Here is Pm4SiBiTe2 after structural relaxation from the Alexandria database. Energies are from PBE.

a = 4.4289 Å, b = 7.7287 Å, c = 7.7392 Å
α = 70.81°, β = 90.00°, γ = 90.00°
Closest atoms and distances in Å follow each position.
Atoms (fractional coordinates):
Pm1 0.0000 0.7353 0.7376  1 Si 2.98, 2 Bi 3.15, 3 Te 3.16-3.32
Pm2 0.0000 0.2647 0.2624  1 Si 2.98, 2 Bi 3.15, 3 Te 3.16-3.32
Pm3 0.5000 0.7277 0.2715  2 Si 3.01, 1 Bi 3.15, 3 Te 3.16-3.29
Pm4 0.5000 0.2723 0.7285  2 Si 3.01, 1 Bi 3.15, 3 Te 3.16-3.29
Si1 0.0000 0.5000 0.5000  6 Pm 2.98-3.01
Bi1 0.5000 0.5000 0.0000  6 Pm 3.15
Te1 0.0000 0.0000 0.0000  6 Pm 3.29-3.32
Te2 0.5000 0.0000 0.5000  6 Pm 3.16

Computed properties:
As for the space group: P2/m (10). The calculation puts the density of states at the Fermi level at 1.78 states/eV/f.u. The calculation puts the energy relative to the elements, uncorrected at -1170 meV/atom.